## CeZnNi (PBE)

Data for a relaxed structure of CeZnNi.

For the density of states at the Fermi level, the calculation gives 1.15 states/eV/atom. Its electronic total energy is -4.64 eV per atom.

```
data_CeZnNi
_symmetry_space_group_name_H-M 'P 1 21/m 1'
_symmetry_Int_Tables_number 11
_cell_length_a 4.356
_cell_length_b 4.516
_cell_length_c 5.876
_cell_angle_alpha 90.00
_cell_angle_beta 111.71
_cell_angle_gamma 90.00
loop_
_symmetry_equiv_pos_as_xyz
'x,y,z'
'-x,-y,-z'
'-x,y+1/2,-z'
'x,-y+1/2,z'
loop_
_atom_site_label
_atom_site_fract_x
_atom_site_fract_y
_atom_site_fract_z
_atom_site_occupancy
Ce1 0.090 0.250 0.180 1
Zn1 0.379 0.250 0.757 1
Ni1 0.231 0.750 0.464 1
```

***

## NaOsS2N (PBE)

Data for a relaxed structure of NaOsS2N.

For the density of states at the Fermi level, the calculation gives 0.87 states/eV/atom. Its offset from the most stable computed form is 0.000 eV per atom. The uncorrected formation energy is 0.075 eV/atom.

```
data_NaOsS2N
_symmetry_space_group_name_H-M 'P 4/m m m'
_symmetry_Int_Tables_number 123
_symmetry_space_group_name_Hall '-P 4 2'
_cell_length_a 4.901
_cell_length_b 4.901
_cell_length_c 3.712
_cell_angle_alpha 90.00
_cell_angle_beta 90.00
_cell_angle_gamma 90.00
loop_
_atom_site_label
_atom_site_fract_x
_atom_site_fract_y
_atom_site_fract_z
_atom_site_occupancy
Na1 0.000 0.000 0.000 1
Os1 0.500 0.500 0.500 1
S1 0.000 0.500 0.500 1
N1 0.500 0.500 0.000 1
```

***

## GaB2O2 (PBE)

Data for a relaxed structure of GaB2O2.

For the density of states at the Fermi level, the calculation gives 0.24 states/eV/atom. Its offset from the most stable computed form is 1.494 eV per atom. The uncorrected formation energy is 0.317 eV/atom.

```
data_GaB2O2
_symmetry_space_group_name_H-M 'I 4/m m m'
_symmetry_Int_Tables_number 139
_symmetry_space_group_name_Hall '-I 4 2'
_cell_length_a 3.484
_cell_length_b 3.484
_cell_length_c 7.023
_cell_angle_alpha 90.00
_cell_angle_beta 90.00
_cell_angle_gamma 90.00
loop_
_atom_site_label
_atom_site_fract_x
_atom_site_fract_y
_atom_site_fract_z
_atom_site_occupancy
Ga1 0.000 0.000 0.000 1
B1 0.000 0.000 0.370 1
O1 0.000 0.500 0.250 1
```

***

## NbFe3Pt (PBE)

Data for a relaxed structure of NbFe3Pt.

For the density of states at the Fermi level, the calculation gives 1.19 states/eV/atom. Its offset from the most stable computed form is 0.216 eV per atom.

```
data_NbFe3Pt
_symmetry_space_group_name_H-M 'P m -3 m'
_symmetry_Int_Tables_number 221
_symmetry_space_group_name_Hall '-P 4 2 3'
_cell_length_a 4.422
_cell_length_b 4.422
_cell_length_c 4.422
_cell_angle_alpha 90.00
_cell_angle_beta 90.00
_cell_angle_gamma 90.00
loop_
_atom_site_label
_atom_site_fract_x
_atom_site_fract_y
_atom_site_fract_z
_atom_site_occupancy
Nb1 0.000 0.000 0.000 1
Fe1 0.000 0.000 0.500 1
Pt1 0.500 0.500 0.500 1
```

***

## CePd4Au5 (PBE)

Data for a relaxed structure of CePd4Au5.

For the density of states at the Fermi level, the calculation gives 0.73 states/eV/atom. Its electronic total energy is -4.63 eV per atom.

```
data_CePd4Au5
_symmetry_space_group_name_H-M 'C 1 2/m 1'
_symmetry_Int_Tables_number 12
_cell_length_a 13.073
_cell_length_b 4.839
_cell_length_c 5.827
_cell_angle_alpha 90.00
_cell_angle_beta 101.59
_cell_angle_gamma 90.00
loop_
_symmetry_equiv_pos_as_xyz
'x,y,z'
'-x,-y,-z'
'-x,y,-z'
'x,-y,z'
'x+1/2,y+1/2,z'
'-x+1/2,-y+1/2,-z'
'-x+1/2,y+1/2,-z'
'x+1/2,-y+1/2,z'
loop_
_atom_site_label
_atom_site_fract_x
_atom_site_fract_y
_atom_site_fract_z
_atom_site_occupancy
Ce1 0.000 0.000 0.000 1
Pd1 0.106 0.500 0.881 1
Pd2 0.198 0.000 0.298 1
Au1 0.000 0.000 0.500 1
Au2 0.098 0.500 0.382 1
Au3 0.207 0.000 0.797 1
```

***

## CaLa2SnB (PBE)

Data for a relaxed structure of CaLa2SnB.

For the density of states at the Fermi level, the calculation gives 0.81 states/eV/atom. Its electronic total energy is -4.53 eV per atom.

```
data_CaLa2SnB
_symmetry_space_group_name_H-M 'P 4/m m m'
_symmetry_Int_Tables_number 123
_symmetry_space_group_name_Hall '-P 4 2'
_cell_length_a 5.409
_cell_length_b 5.409
_cell_length_c 4.870
_cell_angle_alpha 90.00
_cell_angle_beta 90.00
_cell_angle_gamma 90.00
loop_
_atom_site_label
_atom_site_fract_x
_atom_site_fract_y
_atom_site_fract_z
_atom_site_occupancy
Ca1 0.000 0.000 0.000 1
La1 0.000 0.500 0.500 1
Sn1 0.500 0.500 0.000 1
B1 0.500 0.500 0.500 1
```

***

## CsSr2Re (PBE)

Data for a relaxed structure of CsSr2Re.

For the density of states at the Fermi level, the calculation gives 1.35 states/eV/atom. Its electronic total energy is -2.93 eV per atom.

```
data_CsSr2Re
_symmetry_space_group_name_H-M 'F m -3 m'
_symmetry_Int_Tables_number 225
_symmetry_space_group_name_Hall '-F 4 2 3'
_cell_length_a 8.289
_cell_length_b 8.289
_cell_length_c 8.289
_cell_angle_alpha 90.00
_cell_angle_beta 90.00
_cell_angle_gamma 90.00
loop_
_atom_site_label
_atom_site_fract_x
_atom_site_fract_y
_atom_site_fract_z
_atom_site_occupancy
Cs1 0.000 0.000 0.000 1
Sr1 0.250 0.250 0.250 1
Re1 0.000 0.000 0.500 1
```

***

## YMo (PBE)

Data for a relaxed structure of YMo.

For the density of states at the Fermi level, the calculation gives 1.15 states/eV/atom. Its offset from the most stable computed form is 0.146 eV per atom.

```
data_YMo
_symmetry_space_group_name_H-M 'C 1 2 1'
_symmetry_Int_Tables_number 5
_cell_length_a 10.236
_cell_length_b 5.252
_cell_length_c 6.198
_cell_angle_alpha 90.00
_cell_angle_beta 124.72
_cell_angle_gamma 90.00
loop_
_symmetry_equiv_pos_as_xyz
'x,y,z'
'-x,y,-z'
'x+1/2,y+1/2,z'
'-x+1/2,y+1/2,-z'
loop_
_atom_site_label
_atom_site_fract_x
_atom_site_fract_y
_atom_site_fract_z
_atom_site_occupancy
Y1 0.000 0.000 0.000 1
Y2 0.118 0.499 0.832 1
Mo1 0.000 0.010 0.500 1
Mo2 0.249 0.154 0.549 1
```

***

## BaLaPaO6 (PBE)

Data for a relaxed structure of BaLaPaO6.

For the density of states at the Fermi level, the calculation gives 0.95 states/eV/atom. The uncorrected formation energy is -2.701 eV/atom.

```
data_BaLaPaO6
_symmetry_space_group_name_H-M 'P 3 1 2'
_symmetry_Int_Tables_number 149
_cell_length_a 6.2871
_cell_length_b 6.2871
_cell_length_c 4.7991
_cell_angle_alpha 90.00
_cell_angle_beta 90.00
_cell_angle_gamma 120.00
loop_
_symmetry_equiv_pos_as_xyz
'x,y,z'
'-y,x-y,z'
'-x+y,-x,z'
'-y,-x,-z'
'-x+y,y,-z'
'x,x-y,-z'
loop_
_atom_site_label
_atom_site_fract_x
_atom_site_fract_y
_atom_site_fract_z
_atom_site_occupancy
Ba1 0.0000 0.0000 0.0000 1
La1 0.3333 0.6667 0.0000 1
Pa1 0.6667 0.3333 0.5000 1
O1 0.3901 0.0251 0.2575 1
```

***

## Mg2TiSi2Ir5 (PBE)

Data for a relaxed structure of Mg2TiSi2Ir5.

For the density of states at the Fermi level, the calculation gives 0.27 states/eV/atom. The uncorrected formation energy is -0.619 eV/atom.

```
data_Mg2TiSi2Ir5
_symmetry_space_group_name_H-M 'P 4/m b m'
_symmetry_Int_Tables_number 127
_symmetry_space_group_name_Hall '-P 4 2ab'
_cell_length_a 9.516
_cell_length_b 9.516
_cell_length_c 3.377
_cell_angle_alpha 90.00
_cell_angle_beta 90.00
_cell_angle_gamma 90.00
loop_
_atom_site_label
_atom_site_fract_x
_atom_site_fract_y
_atom_site_fract_z
_atom_site_occupancy
Mg1 0.172 0.328 0.000 1
Ti1 0.000 0.000 0.000 1
Si1 0.128 0.628 0.000 1
Ir1 0.000 0.500 0.500 1
Ir2 0.072 0.796 0.500 1
```

***

## TiNbZnIn (PBE)

Data for a relaxed structure of TiNbZnIn.

For the density of states at the Fermi level, the calculation gives 0.90 states/eV/atom. Its electronic total energy is -5.61 eV per atom.

```
data_TiNbZnIn
_symmetry_space_group_name_H-M 'P m m m'
_symmetry_Int_Tables_number 47
_cell_length_a 4.005
_cell_length_b 4.015
_cell_length_c 4.374
_cell_angle_alpha 90.00
_cell_angle_beta 90.00
_cell_angle_gamma 90.00
loop_
_symmetry_equiv_pos_as_xyz
'x,y,z'
'-x,-y,-z'
'-x,-y,z'
'x,y,-z'
'x,-y,-z'
'-x,y,z'
'-x,y,-z'
'x,-y,z'
loop_
_atom_site_label
_atom_site_fract_x
_atom_site_fract_y
_atom_site_fract_z
_atom_site_occupancy
Ti1 0.000 0.000 0.000 1
Nb1 0.500 0.500 0.000 1
Zn1 0.000 0.500 0.500 1
In1 0.500 0.000 0.500 1
```

***

## Y2Al4Zn3Au (PBE)

Data for a relaxed structure of Y2Al4Zn3Au.

For the density of states at the Fermi level, the calculation gives 0.38 states/eV/atom. Its electronic total energy is -3.96 eV per atom.

```
data_Y2Al4Zn3Au
_symmetry_space_group_name_H-M 'P -4 m 2'
_symmetry_Int_Tables_number 115
_cell_length_a 4.181
_cell_length_b 4.181
_cell_length_c 10.814
_cell_angle_alpha 90.00
_cell_angle_beta 90.00
_cell_angle_gamma 90.00
loop_
_symmetry_equiv_pos_as_xyz
'x,y,z'
'y,-x,-z'
'-x,-y,z'
'-y,x,-z'
'-x,y,z'
'-y,-x,-z'
'x,-y,z'
'y,x,-z'
loop_
_atom_site_label
_atom_site_fract_x
_atom_site_fract_y
_atom_site_fract_z
_atom_site_occupancy
Y1 0.000 0.500 0.246 1
Al1 0.000 0.000 0.000 1
Al2 0.000 0.500 0.637 1
Al3 0.500 0.500 0.000 1
Zn1 0.000 0.500 0.862 1
Zn2 0.500 0.500 0.500 1
Au1 0.000 0.000 0.500 1
```

***

## KYHf (PBE)

Data for a relaxed structure of KYHf.

For the density of states at the Fermi level, the calculation gives 1.00 states/eV/atom. Its offset from the most stable computed form is 0.169 eV per atom.

```
data_KYHf
_symmetry_space_group_name_H-M 'P 1'
_symmetry_Int_Tables_number 1
_cell_length_a 3.426
_cell_length_b 5.928
_cell_length_c 9.904
_cell_angle_alpha 102.29
_cell_angle_beta 90.18
_cell_angle_gamma 90.00
loop_
_symmetry_equiv_pos_as_xyz
'x,y,z'
loop_
_atom_site_label
_atom_site_fract_x
_atom_site_fract_y
_atom_site_fract_z
_atom_site_occupancy
K1 0.000 0.000 0.000 1
K2 0.500 0.500 0.001 1
Y1 0.491 0.283 0.393 1
Y2 0.991 0.783 0.393 1
Hf1 0.493 0.042 0.652 1
Hf2 0.993 0.541 0.652 1
```

***

## Pr3PuTh3Se8 (PBE)

Data for a relaxed structure of Pr3PuTh3Se8.

For the density of states at the Fermi level, the calculation gives 1.26 states/eV/atom. The uncorrected formation energy is -1.698 eV/atom.

```
data_Pr3PuTh3Se8
_symmetry_space_group_name_H-M 'R -3 m'
_symmetry_Int_Tables_number 166
_symmetry_space_group_name_Hall '-R 3 2"'
_cell_length_a 8.4166
_cell_length_b 8.4166
_cell_length_c 20.7075
_cell_angle_alpha 90.00
_cell_angle_beta 90.00
_cell_angle_gamma 120.00
loop_
_atom_site_label
_atom_site_fract_x
_atom_site_fract_y
_atom_site_fract_z
_atom_site_occupancy
Pr1 0.0000 0.5000 0.0000 1
Pu1 0.0000 0.0000 0.5000 1
Th1 0.0000 0.5000 0.5000 1
Se1 0.0000 0.0000 0.2491 1
Se2 0.0052 0.5026 0.7507 1
```

***

## ErNpF6 (PBE)

Data for a relaxed structure of ErNpF6.

For the density of states at the Fermi level, the calculation gives 0.23 states/eV/atom. The uncorrected formation energy is -3.775 eV/atom.

```
data_ErNpF6
_symmetry_space_group_name_H-M 'P -1'
_symmetry_Int_Tables_number 2
_cell_length_a 6.272
_cell_length_b 6.273
_cell_length_c 6.324
_cell_angle_alpha 60.27
_cell_angle_beta 60.28
_cell_angle_gamma 60.01
loop_
_symmetry_equiv_pos_as_xyz
'x,y,z'
'-x,-y,-z'
loop_
_atom_site_label
_atom_site_fract_x
_atom_site_fract_y
_atom_site_fract_z
_atom_site_occupancy
Er1 0.000 0.000 0.000 1
Np1 0.500 0.500 0.500 1
F1 0.214 0.758 0.757 1
F2 0.242 0.728 0.243 1
F3 0.272 0.213 0.759 1
```

***

## ZnCdRu3 (PBE)

Data for a relaxed structure of ZnCdRu3.

For the density of states at the Fermi level, the calculation gives 1.26 states/eV/atom. Its offset from the most stable computed form is 0.817 eV per atom.

```
data_ZnCdRu3
_symmetry_space_group_name_H-M 'P m -3 m'
_symmetry_Int_Tables_number 221
_symmetry_space_group_name_Hall '-P 4 2 3'
_cell_length_a 4.896
_cell_length_b 4.896
_cell_length_c 4.896
_cell_angle_alpha 90.00
_cell_angle_beta 90.00
_cell_angle_gamma 90.00
loop_
_atom_site_label
_atom_site_fract_x
_atom_site_fract_y
_atom_site_fract_z
_atom_site_occupancy
Zn1 0.000 0.000 0.000 1
Cd1 0.500 0.500 0.500 1
Ru1 0.000 0.500 0.500 1
```

***

## NaCu2Bi3S6 (PBE)

Data for a relaxed structure of NaCu2Bi3S6.

The uncorrected formation energy is -0.400 eV/atom.

```
data_NaCu2Bi3S6
_symmetry_space_group_name_H-M 'C 1 2/m 1'
_symmetry_Int_Tables_number 12
_cell_length_a 17.554
_cell_length_b 3.984
_cell_length_c 8.304
_cell_angle_alpha 90.00
_cell_angle_beta 100.31
_cell_angle_gamma 90.00
loop_
_symmetry_equiv_pos_as_xyz
'x,y,z'
'-x,-y,-z'
'-x,y,-z'
'x,-y,z'
'x+1/2,y+1/2,z'
'-x+1/2,-y+1/2,-z'
'-x+1/2,y+1/2,-z'
'x+1/2,-y+1/2,z'
loop_
_atom_site_label
_atom_site_fract_x
_atom_site_fract_y
_atom_site_fract_z
_atom_site_occupancy
Na1 0.000 0.000 0.000 1
Cu1 0.125 0.500 0.188 1
Bi1 0.000 0.000 0.500 1
Bi2 0.171 0.500 0.813 1
S1 0.007 0.500 0.259 1
S2 0.166 0.000 0.594 1
S3 0.171 0.000 0.112 1
```

***

## Ta2Zn2In (PBE)

Data for a relaxed structure of Ta2Zn2In.

For the density of states at the Fermi level, the calculation gives 0.77 states/eV/atom. Its electronic total energy is -5.50 eV per atom.

```
data_Ta2Zn2In
_symmetry_space_group_name_H-M 'P 4/m b m'
_symmetry_Int_Tables_number 127
_symmetry_space_group_name_Hall '-P 4 2ab'
_cell_length_a 7.816
_cell_length_b 7.816
_cell_length_c 2.991
_cell_angle_alpha 90.00
_cell_angle_beta 90.00
_cell_angle_gamma 90.00
loop_
_atom_site_label
_atom_site_fract_x
_atom_site_fract_y
_atom_site_fract_z
_atom_site_occupancy
Ta1 0.122 0.378 0.000 1
Zn1 0.172 0.672 0.500 1
In1 0.000 0.000 0.500 1
```

***

## Li3Ag2Au (PBE)

Data for a relaxed structure of Li3Ag2Au.

For the density of states at the Fermi level, the calculation gives 0.28 states/eV/atom. Its offset from the most stable computed form is 0.069 eV per atom.

```
data_Li3Ag2Au
_symmetry_space_group_name_H-M 'C 1 2/m 1'
_symmetry_Int_Tables_number 12
_cell_length_a 15.044
_cell_length_b 4.651
_cell_length_c 6.039
_cell_angle_alpha 90.00
_cell_angle_beta 112.10
_cell_angle_gamma 90.00
loop_
_symmetry_equiv_pos_as_xyz
'x,y,z'
'-x,-y,-z'
'-x,y,-z'
'x,-y,z'
'x+1/2,y+1/2,z'
'-x+1/2,-y+1/2,-z'
'-x+1/2,y+1/2,-z'
'x+1/2,-y+1/2,z'
loop_
_atom_site_label
_atom_site_fract_x
_atom_site_fract_y
_atom_site_fract_z
_atom_site_occupancy
Li1 0.083 0.000 0.216 1
Li2 0.086 0.500 0.956 1
Li3 0.246 0.000 0.623 1
Ag1 0.083 0.000 0.717 1
Ag2 0.250 0.000 0.138 1
Au1 0.084 0.500 0.425 1
```

***

## VH2W (PBE)

Data for a relaxed structure of VH2W.

For the density of states at the Fermi level, the calculation gives 0.43 states/eV/atom. Its offset from the most stable computed form is 0.044 eV per atom.

```
data_VH2W
_symmetry_space_group_name_H-M 'I -4 2 d'
_symmetry_Int_Tables_number 122
_symmetry_space_group_name_Hall 'I -4 2bw'
_cell_length_a 4.171
_cell_length_b 4.171
_cell_length_c 8.238
_cell_angle_alpha 90.00
_cell_angle_beta 90.00
_cell_angle_gamma 90.00
loop_
_atom_site_label
_atom_site_fract_x
_atom_site_fract_y
_atom_site_fract_z
_atom_site_occupancy
V1 0.000 0.000 0.000 1
H1 0.231 0.250 0.125 1
W1 0.000 0.000 0.500 1
```